! Al2OsBr PBE relaxed; values from VASP
&SYSTEM
  ibrav = 0, nat = 4, ntyp = 3
/
ATOMIC_SPECIES
Os 190.23 Os.upf
Al 26.98 Al.upf
Br 79.90 Br.upf
ATOMIC_POSITIONS crystal
Os 0.000 0.500 0.500
Al 0.000 0.000 0.000
Al 0.500 0.500 0.000
Br 0.500 0.000 0.500
CELL_PARAMETERS angstrom
-2.233 1.293 4.096
1.081 -4.299 1.946
2.469 1.076 1.006
! Density of states at the Fermi level: 0.515 states/eV/atom
! Electronic total energy: -0.3520 Ry per atom

=====

! AlOsRuBr2 PBE relaxed; values from VASP
&SYSTEM
  ibrav = 0, nat = 5, ntyp = 4
/
ATOMIC_SPECIES
Ru 101.07 Ru.upf
Os 190.23 Os.upf
Al 26.98 Al.upf
Br 79.90 Br.upf
ATOMIC_POSITIONS crystal
Ru 0.000 0.000 0.000
Os 0.500 0.500 0.500
Al 0.000 0.500 0.000
Br 0.000 0.000 0.500
Br 0.500 0.000 0.000
CELL_PARAMETERS angstrom
4.984 0.000 0.000
0.000 4.883 0.000
0.000 0.000 4.984
! Density of states at the Fermi level: 1.100 states/eV/atom
! Electronic total energy: -0.2953 Ry per atom

=====

! AlOsSe2Br PBE relaxed; values from VASP
&SYSTEM
  ibrav = 0, nat = 5, ntyp = 4
/
ATOMIC_SPECIES
Os 190.23 Os.upf
Se 78.96 Se.upf
Br 79.90 Br.upf
Al 26.98 Al.upf
ATOMIC_POSITIONS crystal
Os 0.000 0.000 0.000
Se 0.000 0.500 0.000
Se 0.500 0.000 0.000
Br 0.000 0.000 0.500
Al 0.500 0.500 0.500
CELL_PARAMETERS angstrom
4.832 0.000 0.000
0.000 4.832 0.000
0.000 0.000 5.411
! Density of states at the Fermi level: 0.713 states/eV/atom
! Electronic total energy: -0.3123 Ry per atom

=====

! AlOsSe2Br PBE relaxed; values from VASP
&SYSTEM
  ibrav = 0, nat = 5, ntyp = 4
/
ATOMIC_SPECIES
Os 190.23 Os.upf
Se 78.96 Se.upf
Br 79.90 Br.upf
Al 26.98 Al.upf
ATOMIC_POSITIONS crystal
Os 0.500 0.500 0.500
Se 0.000 0.500 0.000
Se 0.500 0.000 0.000
Br 0.000 0.000 0.500
Al 0.000 0.000 0.000
CELL_PARAMETERS angstrom
-0.323 1.439 -4.703
4.065 -2.574 -1.067
-2.701 -3.855 -0.994
! Density of states at the Fermi level: 0.882 states/eV/atom
! Electronic total energy: -0.2719 Ry per atom

=====

! AlOsSeBr2 PBE relaxed; values from VASP
&SYSTEM
  ibrav = 0, nat = 5, ntyp = 4
/
ATOMIC_SPECIES
Os 190.23 Os.upf
Se 78.96 Se.upf
Br 79.90 Br.upf
Al 26.98 Al.upf
ATOMIC_POSITIONS crystal
Os 0.000 0.000 0.000
Se 0.000 0.000 0.500
Br 0.000 0.500 0.000
Br 0.500 0.000 0.000
Al 0.500 0.500 0.500
CELL_PARAMETERS angstrom
-2.226 -4.777 -0.985
-0.899 -0.662 5.244
-4.148 2.027 -0.455
! Density of states at the Fermi level: 0.552 states/eV/atom
! Electronic total energy: -0.2903 Ry per atom

=====

! AlOsSeBr2 PBE relaxed; values from VASP
&SYSTEM
  ibrav = 0, nat = 5, ntyp = 4
/
ATOMIC_SPECIES
Os 190.23 Os.upf
Se 78.96 Se.upf
Br 79.90 Br.upf
Al 26.98 Al.upf
ATOMIC_POSITIONS crystal
Os 0.500 0.500 0.500
Se 0.000 0.000 0.500
Br 0.000 0.500 0.000
Br 0.500 0.000 0.000
Al 0.000 0.000 0.000
CELL_PARAMETERS angstrom
4.935 0.000 0.000
0.000 4.935 0.000
0.000 0.000 5.097
! Density of states at the Fermi level: 1.284 states/eV/atom
! Electronic total energy: -0.2495 Ry per atom

=====

Q: Which of these has the lowest electronic total energy?
A: Al2OsBr

=====

Repeat the fourth record exactly.
! AlOsSe2Br PBE relaxed; values from VASP
&SYSTEM
  ibrav = 0, nat = 5, ntyp = 4
/
ATOMIC_SPECIES
Os 190.23 Os.upf
Se 78.96 Se.upf
Br 79.90 Br.upf
Al 26.98 Al.upf
ATOMIC_POSITIONS crystal
Os 0.500 0.500 0.500
Se 0.000 0.500 0.000
Se 0.500 0.000 0.000
Br 0.000 0.000 0.500
Al 0.000 0.000 0.000
CELL_PARAMETERS angstrom
-0.323 1.439 -4.703
4.065 -2.574 -1.067
-2.701 -3.855 -0.994
! Density of states at the Fermi level: 0.882 states/eV/atom
! Electronic total energy: -0.2719 Ry per atom

=====

Q: What is the formula in the fourth record?
A: AlOsSe2Br

=====

Q: The highest density of states at the Fermi level belongs to which entry?
A: number 6